# 1
# BeCo3Br meta-GGA SCAN PBEsol geometry
# - calculated total energy (eV/cell) = -71.36
data_BeCo3Br
_cell_length_a 3.9678
_cell_length_b 3.9678
_cell_length_c 3.9678
_cell_angle_alpha 90.00
_cell_angle_beta 90.00
_cell_angle_gamma 90.00
_space_group_name_H-M_alt 'P m -3 m'
_space_group_IT_number 221
_space_group_name_Hall '-P 4 2 3'
loop_
_atom_site_label
_atom_site_type_symbol
_atom_site_fract_x
_atom_site_fract_y
_atom_site_fract_z
Be1 Be 0.0000 0.0000 0.0000
Co1 Co 0.0000 0.0000 0.5000
Br1 Br 0.5000 0.5000 0.5000

***

# 2
# BeCoBr2 meta-GGA SCAN PBEsol geometry
# - calculated total energy (eV/cell) = -59.04
data_BeCoBr2
_cell_length_a 4.8104
_cell_length_b 3.2422
_cell_length_c 4.8269
_cell_angle_alpha 90.00
_cell_angle_beta 93.28
_cell_angle_gamma 90.00
_space_group_name_H-M_alt 'P 1 2/m 1'
_space_group_IT_number 10
loop_
_space_group_symop_operation_xyz
'x,y,z'
'-x,-y,-z'
'-x,y,-z'
'x,-y,z'
loop_
_atom_site_label
_atom_site_type_symbol
_atom_site_fract_x
_atom_site_fract_y
_atom_site_fract_z
Be1 Be 0.0000 0.0000 0.0000
Co1 Co 0.5000 0.0000 0.5000
Br1 Br 0.2363 0.5000 0.7634

***

# 3
# Be2CoCuBr meta-GGA SCAN PBEsol geometry
# - calculated total energy (eV/cell) = -55.44
data_Be2CoCuBr
_cell_length_a 3.9990
_cell_length_b 3.9990
_cell_length_c 5.1126
_cell_angle_alpha 90.00
_cell_angle_beta 90.00
_cell_angle_gamma 90.00
_space_group_name_H-M_alt 'P 4/m m m'
_space_group_IT_number 123
_space_group_name_Hall '-P 4 2'
loop_
_atom_site_label
_atom_site_type_symbol
_atom_site_fract_x
_atom_site_fract_y
_atom_site_fract_z
Be1 Be 0.0000 0.5000 0.0000
Co1 Co 0.0000 0.0000 0.5000
Cu1 Cu 0.5000 0.5000 0.0000
Br1 Br 0.5000 0.5000 0.5000